[1]
CoSnCl2 after structural relaxation. Source: Alexandria, functional PBE.

Cell: 6.6219 6.6219 6.6219 Å, 120.49 120.49 89.15°
Sites, in units of the cell vectors:
Co 0.0000 0.0000 0.0000
Co 0.7500 0.2500 0.5000
Sn 0.2500 0.7500 0.5000
Sn 0.5000 0.5000 0.0000
Cl 0.0253 0.6250 0.9003
Cl 0.3750 0.2753 0.4003
Cl 0.7247 0.1250 0.0997
Cl 0.8750 0.9747 0.5997

Values from the calculation:
total energy: -0.1360 hartree per atom
space-group type: I-42d (122)



[2]
Sm2MgTi after structural relaxation. Source: Alexandria, functional PBE.

Cell: 5.2793 5.2793 3.8622 Å, 90.00 90.00 90.00°
Sites, in units of the cell vectors:
Sm 0.0000 0.5000 0.0000
Sm 0.5000 0.0000 0.0000
Mg 0.0000 0.0000 0.5000
Ti 0.5000 0.5000 0.5000

Values from the calculation:
ΔE_f: 0.157 eV per atom
total energy: -0.1681 hartree per atom
space-group type: P4/mmm (123)